<1>
VASP calculation (GGA-PBE) on crystalline NiHgSbI2 at its relaxed geometry.

As for the density: 5.3 g cm⁻³.

The structure belongs to space group P4/mmm (No. 123); the cell edges are 5.9603, 5.9603 and 5.6144 Å and the angles 90.00°, 90.00° and 90.00°. The inequivalent atoms are Ni at (0.0000, 0.0000, 0.0000), Hg at (0.5000, 0.5000, 0.5000), Sb at (0.5000, 0.5000, 0.0000) and I at (0.0000, 0.5000, 0.5000).



<2>
VASP calculation (GGA-PBE) on crystalline NiHgSbI2 at its relaxed geometry.

As for the density: 7.0 g cm⁻³.

The structure belongs to space group P4/mmm (No. 123); the cell edges are 5.5817, 5.5817 and 4.8615 Å and the angles 90.00°, 90.00° and 90.00°. The inequivalent atoms are Ni at (0.0000, 0.0000, 0.0000), Hg at (0.5000, 0.5000, 0.5000), Sb at (0.0000, 0.0000, 0.5000) and I at (0.0000, 0.5000, 0.0000).



What is the least stable structure shown above? It is <1>.